# 1
A PBEsol-optimized structure of Cs2Mo3O10, computed with meta-GGA SCAN.

abc: 8.401 8.401 9.403
angles: 83.78 83.78 60.38
Fractional positions:
Cs1 0.601 0.758 0.338
Cs2 0.242 0.399 0.162
Cs3 0.399 0.242 0.662
Cs4 0.758 0.601 0.838
Mo1 0.730 0.270 0.250
Mo2 0.270 0.730 0.750
Mo3 0.827 0.962 0.024
Mo4 0.038 0.173 0.476
Mo5 0.173 0.038 0.976
Mo6 0.962 0.827 0.524
O1 0.554 0.348 0.380
O2 0.652 0.446 0.120
O3 0.446 0.652 0.620
O4 0.348 0.554 0.880
O5 0.673 0.095 0.182
O6 0.905 0.327 0.318
O7 0.327 0.905 0.818
O8 0.095 0.673 0.682
O9 0.952 0.095 0.096
O10 0.905 0.048 0.404
O11 0.048 0.905 0.904
O12 0.095 0.952 0.596
O13 0.673 0.045 0.894
O14 0.955 0.327 0.606
O15 0.327 0.955 0.106
O16 0.045 0.673 0.394
O17 0.869 0.743 0.078
O18 0.257 0.131 0.422
O19 0.131 0.257 0.922
O20 0.743 0.869 0.578

Output
- uncorrected formation energy (meV/atom) = -2235



# 2
A PBEsol-optimized structure of Cs3Mo6P10O38, computed with meta-GGA SCAN.

abc: 6.445 9.538 14.326
angles: 89.83 88.73 74.14
Site moments in Bohr magnetons follow the coordinates.
Fractional positions:
Cs1 0.000 0.000 0.000  0.00
Cs2 0.036 0.629 0.712  0.00
Cs3 0.964 0.371 0.288  0.00
Mo1 0.737 0.338 0.613  1.77
Mo2 0.714 0.368 0.863  1.81
Mo3 0.621 0.042 0.249  2.23
Mo4 0.379 0.958 0.751  2.23
Mo5 0.263 0.662 0.387  1.77
Mo6 0.286 0.632 0.137  1.81
P1 0.713 0.764 0.409  0.01
P2 0.495 0.295 0.425  0.01
P3 0.287 0.236 0.591  0.01
P4 0.842 0.047 0.747  0.02
P5 0.509 0.718 0.940  0.01
P6 0.158 0.953 0.253  0.02
P7 0.505 0.705 0.575  0.01
P8 0.260 0.281 0.886  0.01
P9 0.740 0.719 0.114  0.01
P10 0.491 0.282 0.060  0.01
O1 0.648 0.583 0.890  0.03
O2 0.332 0.228 0.991  0.01
O3 0.635 0.801 0.517  0.01
O4 0.258 0.611 0.263  -0.18
O5 0.581 0.665 0.372  0.03
O6 0.978 0.635 0.107  0.03
O7 0.072 0.944 0.756  0.01
O8 0.391 0.384 0.854  0.03
O9 0.304 0.057 0.250  0.01
O10 0.178 0.871 0.346  0.05
O11 0.051 0.327 0.588  0.03
O12 0.672 0.312 0.999  0.01
O13 0.580 0.156 0.125  0.01
O14 0.419 0.335 0.628  0.03
O15 0.022 0.365 0.893  0.03
O16 0.668 0.772 0.009  0.01
O17 0.657 0.552 0.576  0.03
O18 0.324 0.088 0.636  0.02
O19 0.420 0.844 0.875  0.01
O20 0.295 0.142 0.831  0.03
O21 0.742 0.389 0.737  -0.18
O22 0.343 0.448 0.424  0.03
O23 0.676 0.912 0.364  0.02
O24 0.539 0.231 0.328  0.02
O25 0.705 0.285 0.477  0.01
O26 0.213 0.850 0.167  0.04
O27 0.352 0.417 0.110  0.03
O28 0.295 0.715 0.523  0.01
O29 0.461 0.769 0.672  0.02
O30 0.822 0.129 0.654  0.05
O31 0.696 0.943 0.750  0.01
O32 0.787 0.150 0.833  0.04
O33 0.705 0.858 0.169  0.03
O34 0.928 0.056 0.244  0.01
O35 0.328 0.688 0.001  0.01
O36 0.949 0.673 0.412  0.03
O37 0.609 0.616 0.146  0.03
O38 0.365 0.199 0.483  0.01

Output
- uncorrected formation energy (meV/atom) = -2359



# 3
A PBEsol-optimized structure of CsMoP2O7, computed with meta-GGA SCAN.

abc: 7.711 8.509 10.353
angles: 90.00 90.00 105.11
Site moments in Bohr magnetons follow the coordinates.
Fractional positions:
Cs1 0.193 0.550 0.311  0.00
Cs2 0.807 0.950 0.811  0.00
Cs3 0.807 0.450 0.689  0.00
Cs4 0.193 0.050 0.189  0.00
Mo1 0.238 0.759 0.900  2.61
Mo2 0.762 0.741 0.400  2.61
Mo3 0.762 0.241 0.100  2.61
Mo4 0.238 0.259 0.600  2.61
P1 0.429 0.187 0.869  0.01
P2 0.571 0.313 0.369  0.01
P3 0.571 0.813 0.131  0.01
P4 0.429 0.687 0.631  0.01
P5 0.129 0.830 0.598  0.01
P6 0.871 0.670 0.098  0.01
P7 0.871 0.170 0.402  0.01
P8 0.129 0.330 0.902  0.01
O1 0.322 0.302 0.943  0.01
O2 0.678 0.198 0.443  0.01
O3 0.678 0.698 0.057  0.01
O4 0.322 0.802 0.557  0.01
O5 0.007 0.772 0.004  0.02
O6 0.993 0.728 0.504  0.02
O7 0.993 0.228 0.996  0.02
O8 0.007 0.272 0.496  0.02
O9 0.441 0.734 0.774  0.03
O10 0.559 0.766 0.274  0.03
O11 0.559 0.266 0.226  0.03
O12 0.441 0.234 0.726  0.03
O13 0.146 0.510 0.910  0.03
O14 0.854 0.990 0.410  0.03
O15 0.854 0.490 0.090  0.03
O16 0.146 0.010 0.590  0.03
O17 0.086 0.259 0.766  0.03
O18 0.914 0.241 0.266  0.03
O19 0.914 0.741 0.234  0.03
O20 0.086 0.759 0.734  0.03
O21 0.322 0.513 0.603  0.03
O22 0.678 0.987 0.103  0.03
O23 0.678 0.487 0.397  0.03
O24 0.322 0.013 0.897  0.03
O25 0.382 0.266 0.426  0.02
O26 0.618 0.234 0.926  0.02
O27 0.618 0.734 0.574  0.02
O28 0.382 0.766 0.074  0.02

Output
- uncorrected formation energy (meV/atom) = -2382



# 4
A PBEsol-optimized structure of CsMo2P3O13, computed with meta-GGA SCAN.

abc: 6.392 9.848 19.731
angles: 90.00 90.00 106.91
Site moments in Bohr magnetons follow the coordinates.
Fractional positions:
Cs1 0.271 0.995 0.915  0.00
Cs2 0.729 0.005 0.415  0.00
Cs3 0.277 0.371 0.739  0.00
Cs4 0.723 0.629 0.239  0.00
Mo1 0.563 0.391 0.034  0.91
Mo2 0.437 0.609 0.534  0.91
Mo3 0.644 0.074 0.746  0.90
Mo4 0.356 0.926 0.246  0.90
Mo5 0.939 0.629 0.790  0.90
Mo6 0.061 0.371 0.290  0.90
Mo7 0.859 0.945 0.072  0.90
Mo8 0.141 0.055 0.572  0.90
P1 0.761 0.307 0.878  0.00
P2 0.239 0.693 0.378  0.00
P3 0.098 0.969 0.732  0.01
P4 0.902 0.031 0.232  0.01
P5 0.489 0.722 0.823  0.01
P6 0.511 0.278 0.323  0.01
P7 0.743 0.709 0.945  0.00
P8 0.257 0.291 0.445  0.00
P9 0.404 0.043 0.089  0.01
P10 0.596 0.957 0.589  0.01
P11 0.018 0.299 0.000  0.01
P12 0.982 0.701 0.500  0.01
O1 0.667 0.589 0.995  0.02
O2 0.333 0.411 0.495  0.02
O3 0.570 0.449 0.113  -0.08
O4 0.430 0.551 0.613  -0.08
O5 0.258 0.384 0.007  0.02
O6 0.742 0.616 0.507  0.02
O7 0.451 0.187 0.054  0.03
O8 0.549 0.813 0.554  0.03
O9 0.590 0.322 0.928  0.00
O10 0.410 0.678 0.428  0.00
O11 0.837 0.427 0.827  0.03
O12 0.163 0.573 0.327  0.03
O13 0.977 0.303 0.919  0.00
O14 0.023 0.697 0.419  0.00
O15 0.684 0.165 0.840  0.03
O16 0.316 0.835 0.340  0.03
O17 0.577 0.939 0.667  0.04
O18 0.423 0.061 0.167  0.04
O19 0.711 0.226 0.703  -0.08
O20 0.289 0.774 0.203  -0.08
O21 0.326 0.064 0.754  0.02
O22 0.674 0.936 0.254  0.02
O23 0.543 0.877 0.804  0.01
O24 0.457 0.123 0.304  0.01
O25 0.946 0.058 0.753  0.03
O26 0.054 0.942 0.253  0.03
O27 0.044 0.835 0.776  0.03
O28 0.956 0.165 0.276  0.03
O29 0.625 0.638 0.788  0.02
O30 0.375 0.362 0.288  0.02
O31 0.248 0.636 0.815  0.02
O32 0.752 0.364 0.315  0.02
O33 0.527 0.715 0.903  0.00
O34 0.473 0.285 0.403  0.00
O35 0.939 0.575 0.711  -0.08
O36 0.061 0.425 0.211  -0.08
O37 0.909 0.689 0.894  0.00
O38 0.091 0.311 0.394  0.00
O39 0.826 0.854 0.979  0.03
O40 0.174 0.146 0.479  0.03
O41 0.915 0.069 0.157  0.04
O42 0.085 0.931 0.657  0.04
O43 0.781 0.793 0.115  -0.08
O44 0.219 0.207 0.615  -0.08
O45 0.175 0.952 0.067  0.03
O46 0.825 0.048 0.567  0.03
O47 0.968 0.143 0.019  0.00
O48 0.032 0.857 0.519  0.00
O49 0.561 0.966 0.060  0.03
O50 0.439 0.034 0.560  0.03
O51 0.873 0.378 0.034  0.03
O52 0.127 0.622 0.534  0.03

Output
- uncorrected formation energy (meV/atom) = -2360
- distance to the lowest polymorph of the same formula (meV per atom) = 0



# 5
A PBEsol-optimized structure of CsMo2P2O11, computed with meta-GGA SCAN.

abc: 8.757 10.122 11.535
angles: 104.16 90.00 90.00
Site moments in Bohr magnetons follow the coordinates.
Fractional positions:
Cs1 0.771 0.096 0.074  0.00
Cs2 0.271 0.904 0.426  0.00
Cs3 0.229 0.904 0.926  0.00
Cs4 0.729 0.096 0.574  0.00
Mo1 0.743 0.382 0.387  0.90
Mo2 0.243 0.618 0.113  0.90
Mo3 0.257 0.618 0.613  0.90
Mo4 0.757 0.382 0.887  0.90
Mo5 0.772 0.806 0.277  0.01
Mo6 0.272 0.194 0.223  0.01
Mo7 0.228 0.194 0.723  0.01
Mo8 0.728 0.806 0.777  0.01
P1 0.921 0.479 0.166  0.01
P2 0.421 0.521 0.334  0.01
P3 0.079 0.521 0.834  0.01
P4 0.579 0.479 0.666  0.01
P5 0.916 0.706 0.512  0.00
P6 0.416 0.294 0.988  0.00
P7 0.084 0.294 0.488  0.00
P8 0.584 0.706 0.012  0.00
O1 0.656 0.234 0.320  -0.07
O2 0.156 0.766 0.180  -0.07
O3 0.344 0.766 0.680  -0.07
O4 0.844 0.234 0.820  -0.07
O5 0.880 0.389 0.251  0.03
O6 0.380 0.611 0.249  0.03
O7 0.120 0.611 0.749  0.03
O8 0.620 0.389 0.751  0.03
O9 0.595 0.500 0.326  0.03
O10 0.095 0.500 0.174  0.03
O11 0.405 0.500 0.674  0.03
O12 0.905 0.500 0.826  0.03
O13 0.913 0.294 0.460  0.02
O14 0.413 0.706 0.040  0.02
O15 0.087 0.706 0.540  0.02
O16 0.587 0.294 0.960  0.02
O17 0.625 0.404 0.539  0.04
O18 0.125 0.596 0.961  0.04
O19 0.375 0.596 0.461  0.04
O20 0.875 0.404 0.039  0.04
O21 0.848 0.565 0.474  0.00
O22 0.348 0.435 0.026  0.00
O23 0.152 0.435 0.526  0.00
O24 0.652 0.565 0.974  0.00
O25 0.861 0.954 0.275  0.00
O26 0.361 0.046 0.225  0.00
O27 0.139 0.046 0.725  0.00
O28 0.639 0.954 0.775  0.00
O29 0.614 0.846 0.364  0.00
O30 0.114 0.154 0.136  0.00
O31 0.386 0.154 0.636  0.00
O32 0.886 0.846 0.864  0.00
O33 0.840 0.619 0.202  0.00
O34 0.340 0.381 0.298  0.00
O35 0.160 0.381 0.798  0.00
O36 0.660 0.619 0.702  0.00
O37 0.671 0.793 0.123  0.00
O38 0.171 0.207 0.377  0.00
O39 0.329 0.207 0.877  0.00
O40 0.829 0.793 0.623  0.00
O41 0.903 0.786 0.414  0.00
O42 0.403 0.214 0.086  0.00
O43 0.097 0.214 0.586  0.00
O44 0.597 0.786 0.914  0.00

Output
- uncorrected formation energy (meV/atom) = -2334



# 6
A PBEsol-optimized structure of CsMo2P3O13, computed with meta-GGA SCAN.

abc: 6.334 9.745 10.050
angles: 83.23 83.25 72.11
Site moments in Bohr magnetons follow the coordinates.
Fractional positions:
Cs1 0.511 0.007 0.493  0.00
Cs2 0.478 0.571 0.960  0.00
Mo1 0.851 0.637 0.252  0.91
Mo2 0.149 0.363 0.748  0.91
Mo3 0.149 0.091 0.179  0.91
Mo4 0.851 0.909 0.820  0.91
P1 0.702 0.997 0.135  0.01
P2 0.298 0.002 0.864  0.01
P3 0.296 0.724 0.323  0.01
P4 0.704 0.277 0.679  0.01
P5 0.012 0.304 0.445  0.01
P6 0.987 0.696 0.555  0.00
O1 0.860 0.043 0.214  0.03
O2 0.142 0.954 0.786  0.03
O3 0.156 0.669 0.238  0.02
O4 0.842 0.334 0.762  0.02
O5 0.736 0.116 0.705  0.00
O6 0.264 0.885 0.299  0.00
O7 0.539 0.629 0.305  0.02
O8 0.461 0.372 0.695  0.02
O9 0.465 0.092 0.181  0.02
O10 0.535 0.906 0.818  0.02
O11 0.771 0.309 0.521  0.00
O12 0.229 0.688 0.480  0.00
O13 0.718 0.838 0.177  0.03
O14 0.282 0.161 0.821  0.03
O15 0.828 0.717 0.447  0.00
O16 0.170 0.284 0.554  0.00
O17 0.882 0.557 0.111  -0.08
O18 0.121 0.442 0.889  -0.08
O19 0.752 0.023 0.982  0.04
O20 0.250 0.974 0.017  0.03
O21 0.918 0.830 0.635  0.03
O22 0.082 0.172 0.364  0.02
O23 0.982 0.445 0.358  0.02
O24 0.014 0.557 0.644  0.02
O25 0.043 0.248 0.093  -0.08
O26 0.959 0.750 0.904  -0.08

Output
- uncorrected formation energy (meV/atom) = -2356
- distance to the lowest polymorph of the same formula (meV per atom) = 4